No. 1
# BiPtI3 (PBE, relaxed)
# Symmetry: No. 221
# E_form (uncorrected), eV per formula unit: 0.98
data_BiPtI3
_space_group_name_H-M_alt 'P 1'
_space_group_IT_number 1
_space_group_name_Hall 'P 1'
_cell_length_a 5.466
_cell_length_b 5.466
_cell_length_c 5.466
_cell_angle_alpha 90.00
_cell_angle_beta 90.00
_cell_angle_gamma 90.00
loop_
_atom_site_label
_atom_site_type_symbol
_atom_site_fract_x
_atom_site_fract_y
_atom_site_fract_z
Bi1 Bi 0.000 0.000 0.000
Pt1 Pt 0.500 0.500 0.500
I1 I 0.000 0.500 0.500
I2 I 0.500 0.000 0.500
I3 I 0.500 0.500 0.000

***

No. 2
# Bi2PtI (PBE, relaxed)
# Symmetry: No. 2
# E_form (uncorrected), eV per formula unit: -1.16
data_Bi2PtI
_space_group_name_H-M_alt 'P 1'
_space_group_IT_number 1
_space_group_name_Hall 'P 1'
_cell_length_a 4.261
_cell_length_b 4.269
_cell_length_c 8.216
_cell_angle_alpha 75.46
_cell_angle_beta 89.83
_cell_angle_gamma 60.12
loop_
_atom_site_label
_atom_site_type_symbol
_atom_site_fract_x
_atom_site_fract_y
_atom_site_fract_z
Bi1 Bi 0.220 0.057 0.171
Bi2 Bi 0.780 0.943 0.829
Pt1 Pt 0.500 0.500 0.000
I1 I 0.000 0.500 0.500

***

No. 3
# Bi2PtI (PBE, relaxed)
# Symmetry: No. 225
# E_form (uncorrected), eV per formula unit: 1.32
data_Bi2PtI
_space_group_name_H-M_alt 'P 1'
_space_group_IT_number 1
_space_group_name_Hall 'P 1'
_cell_length_a 5.304
_cell_length_b 5.304
_cell_length_c 5.304
_cell_angle_alpha 60.00
_cell_angle_beta 60.00
_cell_angle_gamma 60.00
loop_
_atom_site_label
_atom_site_type_symbol
_atom_site_fract_x
_atom_site_fract_y
_atom_site_fract_z
Bi1 Bi 0.250 0.250 0.250
Bi2 Bi 0.750 0.750 0.750
Pt1 Pt 0.000 0.000 0.000
I1 I 0.500 0.500 0.500

***

No. 4
# Bi3PtI (PBE, relaxed)
# Symmetry: No. 221
# E_form (uncorrected), eV per formula unit: 1.52
data_Bi3PtI
_space_group_name_H-M_alt 'P 1'
_space_group_IT_number 1
_space_group_name_Hall 'P 1'
_cell_length_a 5.534
_cell_length_b 5.534
_cell_length_c 5.534
_cell_angle_alpha 90.00
_cell_angle_beta 90.00
_cell_angle_gamma 90.00
loop_
_atom_site_label
_atom_site_type_symbol
_atom_site_fract_x
_atom_site_fract_y
_atom_site_fract_z
Bi1 Bi 0.000 0.000 0.500
Bi2 Bi 0.000 0.500 0.000
Bi3 Bi 0.500 0.000 0.000
Pt1 Pt 0.000 0.000 0.000
I1 I 0.500 0.500 0.500

***

No. 5
# Bi2PtI (PBE, relaxed)
# Symmetry: No. 15
# E_form (uncorrected), eV per formula unit: -0.23
data_Bi2PtI
_space_group_name_H-M_alt 'P 1'
_space_group_IT_number 1
_space_group_name_Hall 'P 1'
_cell_length_a 8.444
_cell_length_b 8.444
_cell_length_c 7.746
_cell_angle_alpha 94.70
_cell_angle_beta 94.70
_cell_angle_gamma 146.84
loop_
_atom_site_label
_atom_site_type_symbol
_atom_site_fract_x
_atom_site_fract_y
_atom_site_fract_z
Bi1 Bi 0.104 0.271 0.123
Bi2 Bi 0.271 0.104 0.623
Bi3 Bi 0.729 0.896 0.377
Bi4 Bi 0.896 0.729 0.877
Pt1 Pt 0.061 0.939 0.250
Pt2 Pt 0.939 0.061 0.750
I1 I 0.336 0.664 0.750
I2 I 0.664 0.336 0.250

***

No. 6
# BiPtI6 (PBE, relaxed)
# Symmetry: No. 2
# E_form (uncorrected), eV per formula unit: -1.33
data_BiPtI6
_space_group_name_H-M_alt 'P 1'
_space_group_IT_number 1
_space_group_name_Hall 'P 1'
_cell_length_a 7.184
_cell_length_b 7.195
_cell_length_c 7.789
_cell_angle_alpha 62.56
_cell_angle_beta 89.58
_cell_angle_gamma 64.29
loop_
_atom_site_label
_atom_site_type_symbol
_atom_site_fract_x
_atom_site_fract_y
_atom_site_fract_z
Bi1 Bi 0.000 0.000 0.000
Pt1 Pt 0.500 0.000 0.500
I1 I 0.124 0.463 0.260
I2 I 0.271 0.821 0.734
I3 I 0.436 0.838 0.267
I4 I 0.564 0.162 0.733
I5 I 0.729 0.179 0.266
I6 I 0.876 0.537 0.740

***

No. 7
# Bi2SbPtI (PBE, relaxed)
# Symmetry: No. 123
# E_form (uncorrected), eV per formula unit: 1.43
data_Bi2SbPtI
_space_group_name_H-M_alt 'P 1'
_space_group_IT_number 1
_space_group_name_Hall 'P 1'
_cell_length_a 5.756
_cell_length_b 5.756
_cell_length_c 4.996
_cell_angle_alpha 90.00
_cell_angle_beta 90.00
_cell_angle_gamma 90.00
loop_
_atom_site_label
_atom_site_type_symbol
_atom_site_fract_x
_atom_site_fract_y
_atom_site_fract_z
Bi1 Bi 0.000 0.500 0.000
Bi2 Bi 0.500 0.000 0.000
Sb1 Sb 0.000 0.000 0.500
Pt1 Pt 0.000 0.000 0.000
I1 I 0.500 0.500 0.500

***

No. 8
# BiSb2PtI (PBE, relaxed)
# Symmetry: No. 123
# E_form (uncorrected), eV per formula unit: 6.68
data_BiSb2PtI
_space_group_name_H-M_alt 'P 1'
_space_group_IT_number 1
_space_group_name_Hall 'P 1'
_cell_length_a 5.839
_cell_length_b 5.839
_cell_length_c 5.832
_cell_angle_alpha 90.00
_cell_angle_beta 90.00
_cell_angle_gamma 90.00
loop_
_atom_site_label
_atom_site_type_symbol
_atom_site_fract_x
_atom_site_fract_y
_atom_site_fract_z
Bi1 Bi 0.000 0.000 0.000
Sb1 Sb 0.000 0.500 0.000
Sb2 Sb 0.500 0.000 0.000
Pt1 Pt 0.500 0.500 0.500
I1 I 0.000 0.000 0.500

***

No. 9
# BiSb2PtI (PBE, relaxed)
# Symmetry: No. 123
# E_form (uncorrected), eV per formula unit: 1.63
data_BiSb2PtI
_space_group_name_H-M_alt 'P 1'
_space_group_IT_number 1
_space_group_name_Hall 'P 1'
_cell_length_a 5.312
_cell_length_b 5.312
_cell_length_c 5.438
_cell_angle_alpha 90.00
_cell_angle_beta 90.00
_cell_angle_gamma 90.00
loop_
_atom_site_label
_atom_site_type_symbol
_atom_site_fract_x
_atom_site_fract_y
_atom_site_fract_z
Bi1 Bi 0.000 0.000 0.000
Sb1 Sb 0.000 0.500 0.500
Sb2 Sb 0.500 0.000 0.500
Pt1 Pt 0.500 0.500 0.500
I1 I 0.500 0.500 0.000

***

No. 10
# ScBiPt2I (PBE, relaxed)
# Symmetry: No. 123
# E_form (uncorrected), eV per formula unit: 3.17
data_ScBiPt2I
_space_group_name_H-M_alt 'P 1'
_space_group_IT_number 1
_space_group_name_Hall 'P 1'
_cell_length_a 5.104
_cell_length_b 5.104
_cell_length_c 6.050
_cell_angle_alpha 90.00
_cell_angle_beta 90.00
_cell_angle_gamma 90.00
loop_
_atom_site_label
_atom_site_type_symbol
_atom_site_fract_x
_atom_site_fract_y
_atom_site_fract_z
Sc1 Sc 0.000 0.000 0.000
Bi1 Bi 0.500 0.500 0.500
Pt1 Pt 0.000 0.500 0.500
Pt2 Pt 0.500 0.000 0.500
I1 I 0.500 0.500 0.000

***

No. 11
# BiTe2PtI (PBE, relaxed)
# Symmetry: No. 123
# E_form (uncorrected), eV per formula unit: 5.69
data_BiTe2PtI
_space_group_name_H-M_alt 'P 1'
_space_group_IT_number 1
_space_group_name_Hall 'P 1'
_cell_length_a 5.965
_cell_length_b 5.965
_cell_length_c 5.882
_cell_angle_alpha 90.00
_cell_angle_beta 90.00
_cell_angle_gamma 90.00
loop_
_atom_site_label
_atom_site_type_symbol
_atom_site_fract_x
_atom_site_fract_y
_atom_site_fract_z
Bi1 Bi 0.000 0.000 0.000
Te1 Te 0.000 0.500 0.000
Te2 Te 0.500 0.000 0.000
Pt1 Pt 0.500 0.500 0.500
I1 I 0.000 0.000 0.500

***

No. 12
# BiTe2PtI (PBE, relaxed)
# Symmetry: No. 123
# E_form (uncorrected), eV per formula unit: 1.09
data_BiTe2PtI
_space_group_name_H-M_alt 'P 1'
_space_group_IT_number 1
_space_group_name_Hall 'P 1'
_cell_length_a 5.349
_cell_length_b 5.349
_cell_length_c 5.413
_cell_angle_alpha 90.00
_cell_angle_beta 90.00
_cell_angle_gamma 90.00
loop_
_atom_site_label
_atom_site_type_symbol
_atom_site_fract_x
_atom_site_fract_y
_atom_site_fract_z
Bi1 Bi 0.000 0.000 0.000
Te1 Te 0.000 0.500 0.500
Te2 Te 0.500 0.000 0.500
Pt1 Pt 0.500 0.500 0.500
I1 I 0.500 0.500 0.000